Entry 1:
# GaFe2HgPt (PBEsol, optimized geometry)
data_GaFe2HgPt
_chemical_formula_sum 'Ga1 Fe2 Hg1 Pt1'
_cell_length_a 4.632
_cell_length_b 4.741
_cell_length_c 4.741
_cell_angle_alpha 90.00
_cell_angle_beta 90.00
_cell_angle_gamma 90.00
_symmetry_space_group_name_H-M 'P 1'
_symmetry_Int_Tables_number 1
loop_
_symmetry_equiv_pos_as_xyz
'x,y,z'
loop_
_atom_site_label
_atom_site_type_symbol
_atom_site_fract_x
_atom_site_fract_y
_atom_site_fract_z
_atom_site_occupancy
Ga1 Ga 0.500 0.000 0.000 1
Fe1 Fe 0.000 0.500 0.000 1
Fe2 Fe 0.000 0.000 0.500 1
Hg1 Hg 0.000 0.000 0.000 1
Pt1 Pt 0.500 0.500 0.500 1
# - total magnetic moment (μB per cell) = 6.70
# - E_form (eV per atom) = 1.57
# - space group = P4/mmm, No. 123


Entry 2:
# InBrO2 (PBEsol, optimized geometry)
data_InBrO2
_chemical_formula_sum 'In2 Br2 O4'
_cell_length_a 5.792
_cell_length_b 6.021
_cell_length_c 5.792
_cell_angle_alpha 61.25
_cell_angle_beta 90.00
_cell_angle_gamma 118.75
_symmetry_space_group_name_H-M 'P 1'
_symmetry_Int_Tables_number 1
loop_
_symmetry_equiv_pos_as_xyz
'x,y,z'
loop_
_atom_site_label
_atom_site_type_symbol
_atom_site_fract_x
_atom_site_fract_y
_atom_site_fract_z
_atom_site_occupancy
In1 In 0.000 0.000 0.000 1
In2 In 0.750 0.500 0.750 1
O1 O 0.040 0.750 0.875 1
O2 O 0.375 0.250 0.040 1
O3 O 0.710 0.750 0.375 1
O4 O 0.875 0.250 0.710 1
Br1 Br 0.500 0.000 0.500 1
Br2 Br 0.250 0.500 0.250 1
# - distance to the lowest polymorph of the same formula (meV/atom) = 573
# - total magnetic moment (μB per cell) = 3.98
# - ΔE_f (raw) (eV/atom) = -0.322
# - space group = I-42d, No. 122